Entry 1:
VASP calculation (PBE) on an optimized crystal structure of PmNdPtCl.

Structure (POSCAR):
```
PmNdPtCl
1.0
-0.467 2.876 2.668
0.320 -3.754 1.185
8.215 0.172 -1.670
Pt Cl Pm Nd
1 1 1 1
Direct
0.470 0.133 0.618
0.133 0.965 0.114
0.988 0.392 0.395
0.286 0.541 0.843
```

## Properties
The space-group type is R3m. The formation energy without anion corrections comes out at -1.25 eV/atom.


Entry 2:
VASP calculation (PBE) on an optimized crystal structure of Ac3SnRh3.

Structure (POSCAR):
```
Ac3SnRh3
1.0
-2.255 -0.506 -3.677
5.865 -1.383 -0.842
-2.788 -14.038 3.640
Rh Ac Sn
6 6 2
Direct
0.232 0.464 0.250
0.075 0.149 0.407
0.925 0.851 0.593
0.075 0.149 0.093
0.768 0.536 0.750
0.925 0.851 0.907
0.513 0.026 0.250
0.788 0.576 0.107
0.487 0.974 0.750
0.788 0.576 0.393
0.212 0.424 0.607
0.212 0.424 0.893
0.500 0.000 0.000
0.500 0.000 0.500
```

## Properties
As for the formation energy: -688 meV per atom. For the energy above the most stable polymorph in this dataset, the calculation gives 0 meV per atom. The space-group type is Cmcm.


Entry 3:
VASP calculation (PBE) on an optimized crystal structure of YThAl2.

Structure (POSCAR):
```
YThAl2
1.0
-4.692 -0.165 2.230
-3.468 -3.569 -1.503
-1.232 -3.926 3.176
Y Al Th
1 2 1
Direct
0.000 0.000 0.000
0.750 0.750 0.750
0.250 0.250 0.250
0.500 0.500 0.500
```

## Properties
As for the formation energy: -288 meV per atom. For the energy above the most stable polymorph in this dataset, the calculation gives 74 meV per atom. The space-group type is Fm-3m.


Entry 4:
VASP calculation (PBE) on an optimized crystal structure of CaRu2N.

Structure (POSCAR):
```
CaRu2N
1.0
-3.161 3.721 -3.824
-4.706 0.149 4.036
-2.394 4.973 1.790
Ru Ca N
4 2 2
Direct
0.460 0.125 0.250
0.290 0.625 0.250
0.875 0.710 0.750
0.375 0.540 0.750
0.000 0.000 0.000
0.750 0.250 0.500
0.250 0.750 0.500
0.500 0.500 0.000
```

## Properties
The space-group type is I-42d. The formation energy without anion corrections comes out at 0.16 eV/atom.


Entry 5:
VASP calculation (PBE) on an optimized crystal structure of RbSrIN2.

Structure (POSCAR):
```
RbSrIN2
1.0
-3.059 -3.283 2.563
-0.900 -2.583 -4.384
5.138 -3.843 1.210
I N Sr Rb
1 2 1 1
Direct
0.000 0.000 0.500
0.500 0.000 0.000
0.000 0.500 0.000
0.500 0.500 0.500
0.000 0.000 0.000
```

## Properties
For the energy above the most stable polymorph in this dataset, the calculation gives 661 meV per atom. The space-group type is P4/mmm. The formation energy without anion corrections comes out at 1.13 eV/atom.


Entry 6:
VASP calculation (PBE) on an optimized crystal structure of RuSeI2Cl.

Structure (POSCAR):
```
RuSeI2Cl
1.0
-5.301 -0.113 -1.084
-0.800 -1.971 4.120
-0.561 4.898 2.234
Cl Se Ru I
1 1 1 2
Direct
0.000 0.500 0.000
0.500 0.500 0.500
0.000 0.000 0.000
0.500 0.000 0.000
0.000 0.000 0.500
```

## Properties
The space-group type is P4/mmm. The formation energy without anion corrections comes out at 0.42 eV/atom.


Entry 7:
VASP calculation (PBE) on an optimized crystal structure of LaPRu3.

Structure (POSCAR):
```
LaPRu3
1.0
-1.455 3.167 -2.821
-3.981 -2.048 -0.246
-1.462 2.425 3.476
Ru La P
3 1 1
Direct
0.000 0.500 0.000
0.500 0.000 0.000
0.000 0.000 0.500
0.500 0.500 0.500
0.000 0.000 0.000
```

## Properties
As for the formation energy: -298 meV per atom. For the energy above the most stable polymorph in this dataset, the calculation gives 0 meV per atom. The space-group type is Pm-3m.


Entry 8:
VASP calculation (PBE) on an optimized crystal structure of Ce6PuHPd2.

Structure (POSCAR):
```
Ce6PuHPd2
1.0
6.830 0.000 -0.619
0.000 6.959 0.000
-3.279 -3.480 5.304
Ce Pu Pd H
6 1 2 1
Direct
0.190 0.692 0.898
0.190 0.206 0.898
0.810 0.308 0.102
0.351 0.737 0.474
0.649 0.263 0.526
0.810 0.794 0.102
0.000 0.500 0.000
0.754 0.733 0.467
0.246 0.267 0.533
0.500 0.000 0.000
```

## Properties
The electronic total energy comes out at -6.685 eV per atom. The space-group type is C2/m.